Run one
Entry from Alexandria: a geometry-optimized Cr2CoW structure (PBE).

```
4
Lattice="3.014 0.000 0.000 0.000 4.136 0.000 0.000 0.000 4.116" Properties=species:S:1:pos:R:3 pbc="T T T"
Co 0.000 2.068 2.058
Cr 0.000 0.000 0.000
Cr 1.507 2.068 0.000
W 1.507 0.000 2.058
```

V, Å³/cell: 51

Run two
Entry from Alexandria: a geometry-optimized Cr2CoW structure (PBE).

```
4
Lattice="-6.007 -3.937 -5.136 -6.278 -5.432 -3.006 -7.592 -3.178 -3.198" Properties=species:S:1:pos:R:3 pbc="T T T"
Co -14.907 -9.410 -8.504
Cr -0.156 -0.098 -0.089
Cr -9.783 -6.175 -5.581
W -4.969 -3.137 -2.835
```

V, Å³/cell: 52

Run three
Entry from Alexandria: a geometry-optimized Cr2CoW structure (PBE).

```
4
Lattice="4.891 0.006 -0.003 -2.275 4.329 -0.003 0.460 0.762 2.409" Properties=species:S:1:pos:R:3 pbc="T T T"
Co -0.908 2.546 1.203
Cr 0.000 0.000 0.000
Cr 1.308 2.168 -0.003
W 2.675 0.384 1.203
```

V, Å³/cell: 51

Least stable of them? run two.

Run one
Entry from Alexandria: a geometry-optimized CrCo6W structure (PBE).

```
32
Lattice="-5.695 0.480 -2.313 -0.317 -1.922 5.850 -0.460 9.551 3.113" Properties=species:S:1:pos:R:3 pbc="T T T"
Co -1.875 3.408 5.374
Co -5.482 5.160 3.595
Co -1.103 5.297 3.820
Co -4.593 4.622 1.250
Co -2.433 5.891 1.801
Co -4.152 4.566 5.614
Co -3.121 1.667 2.547
Co -0.973 2.905 3.065
Co -2.333 3.512 1.001
Co -1.649 -1.288 3.843
Co -5.269 0.429 2.028
Co -0.860 0.553 2.298
Co -4.367 -0.075 -0.281
Co -2.220 1.160 0.235
Co -3.909 -0.179 4.092
Co -3.351 6.442 4.103
Co -1.220 7.724 4.611
Co -2.550 8.318 2.592
Co -0.115 2.388 0.778
Co -4.022 2.173 4.859
Co -5.382 2.781 2.795
Co -0.345 7.163 2.335
Co -4.269 6.993 6.405
Co -5.599 7.587 4.386
Cr -1.791 1.073 4.566
Cr -4.451 2.261 0.527
Cr -0.228 4.746 1.547
Cr -0.001 0.029 0.010
W -2.019 5.847 6.125
W -4.683 7.037 2.081
W -3.235 4.040 3.320
W -3.007 -0.707 1.773
```

V, Å³/cell: 360

Run two
Entry from Alexandria: a geometry-optimized CrCo6W structure (PBE).

```
8
Lattice="-3.261 -0.631 -1.239 -0.331 -4.089 2.955 -1.950 2.889 3.662" Properties=species:S:1:pos:R:3 pbc="T T T"
Cr -1.788 2.190 3.591
Co -1.925 -0.021 5.077
Co -0.767 0.588 1.719
Co -0.929 -1.513 3.216
Co -3.155 -2.117 4.310
Co -1.975 -1.496 0.888
Co -2.160 -3.550 2.422
W -2.951 -0.142 2.768
```

V, Å³/cell: 91

Least stable of them? run two.

Run one
Entry from Alexandria: a geometry-optimized YCr2Co2 structure (PBE).

```
5
Lattice="-1.327 0.081 3.699 3.685 -0.331 1.329 1.597 4.714 2.559" Properties=species:S:1:pos:R:3 pbc="T T T"
Y 0.000 0.000 0.000
Cr 0.724 2.335 4.386
Cr 3.230 2.129 3.201
Co 1.281 1.064 2.525
Co 2.672 3.400 5.062
```

V, Å³/cell: 75

Run two
Entry from Alexandria: a geometry-optimized YCr2Co2 structure (PBE).

```
10
Lattice="-4.086 0.018 5.941 4.761 -4.302 3.288 1.350 2.198 0.922" Properties=species:S:1:pos:R:3 pbc="T T T"
Y 0.000 0.000 0.000
Y 0.337 -2.142 4.614
Cr 3.163 -1.735 3.576
Cr 1.983 -2.505 7.142
Cr -1.138 -0.351 6.575
Cr 0.042 0.420 3.008
Co 2.635 -3.766 5.123
Co -0.617 -2.665 7.258
Co -1.960 -0.518 4.106
Co 1.292 -1.619 1.971
```

V, Å³/cell: 142

Least stable of them? run two.

Run one
Entry from Alexandria: a geometry-optimized ZrCrCo2 structure (PBE).

```
4
Lattice="-2.567 -1.578 -0.353 0.320 -1.145 2.791 -3.151 4.620 2.257" Properties=species:S:1:pos:R:3 pbc="T T T"
Co -0.120 0.175 0.086
Co -1.941 -0.163 1.804
Cr -1.395 2.045 0.999
Zr -3.518 2.149 2.934
```

V, Å³/cell: 55

Run two
Entry from Alexandria: a geometry-optimized ZrCrCo2 structure (PBE).

```
4
Lattice="0.000 3.044 3.044 3.044 0.000 3.044 3.044 3.044 0.000" Properties=species:S:1:pos:R:3 pbc="T T T"
Cr 0.000 0.000 0.000
Co 1.522 1.522 1.522
Co 4.566 4.566 4.566
Zr 3.044 3.044 3.044
```

V, Å³/cell: 56

Least stable of them? run one.

Run one
Entry from Alexandria: a geometry-optimized ZrCrCo3 structure (PBE).

```
5
Lattice="4.439 0.000 0.000 0.000 4.439 0.000 0.000 0.000 4.439" Properties=species:S:1:pos:R:3 pbc="T T T"
Cr 2.220 2.220 2.220
Co 0.000 2.220 0.000
Co 0.000 0.000 2.220
Co 2.220 0.000 0.000
Zr 0.000 0.000 0.000
```

V, Å³/cell: 87

Run two
Entry from Alexandria: a geometry-optimized ZrCrCo3 structure (PBE).

```
5
Lattice="-1.099 -2.484 3.196 2.094 -3.183 -1.754 3.464 1.136 2.074" Properties=species:S:1:pos:R:3 pbc="T T T"
Cr 0.000 0.000 0.000
Co 1.047 -1.591 -0.877
Co 1.732 0.568 1.037
Co -0.549 -1.242 1.598
Zr 2.229 -2.265 1.758
```

V, Å³/cell: 74

Least stable of them? run one.

Run one
Entry from Alexandria: a geometry-optimized CsCoCuS2 structure (PBE).

```
5
Lattice="-1.966 1.966 7.071 1.966 -1.966 7.071 1.966 1.966 -7.071" Properties=species:S:1:pos:R:3 pbc="T T T"
Cs 0.000 0.000 0.000
Co 0.000 1.966 3.535
Cu 1.966 0.000 3.535
S 0.000 0.000 9.338
S 0.000 0.000 4.804
```

V, Å³/cell: 109

Run two
Entry from Alexandria: a geometry-optimized CsCoCuS2 structure (PBE).

```
10
Lattice="5.347 0.000 0.000 -2.673 6.815 0.000 0.000 0.000 6.407" Properties=species:S:1:pos:R:3 pbc="T T T"
Cs 2.673 3.408 4.829
Cs 0.000 3.408 1.578
Co 4.010 0.000 0.000
Co 1.337 0.000 0.000
Cu 0.000 0.000 3.204
Cu 2.673 0.000 3.204
S 2.673 5.666 1.338
S 2.673 1.149 1.338
S 0.000 5.666 5.069
S 0.000 1.149 5.069
```

V, Å³/cell: 233

Least stable of them? run two.